The following is a PBE-GGA calculation of an optimized crystal structure of HoHfTh2, from Alexandria.

Cell lengths 5.469, 5.469, 5.469 Å; angles 60.00, 60.00, 60.00 degrees
Fractional positions:
Ho  0.000  0.000  0.000
Th  0.750  0.750  0.750
Th  0.250  0.250  0.250
Hf  0.500  0.500  0.500

Output
The calculation puts the volume at 28.9 Å³/atom. Its crystal system is cubic. For the magnetic moment, the calculation gives 0.0 μB/cell. For the formation energy, the calculation gives 171 meV/atom. The value obtained for the energy above the most stable polymorph in this dataset is 0.253 eV per formula unit.

=====

The following is a PBE-GGA calculation of an optimized crystal structure of HoHf2Th, from Alexandria.

Cell lengths 4.681, 4.753, 4.753 Å; angles 90.00, 90.00, 90.00 degrees
Fractional positions:
Ho  0.500  0.500  0.500
Th  0.500  0.000  0.000
Hf  0.000  0.500  0.000
Hf  0.000  0.000  0.500

Output
The calculation puts the volume at 26.4 Å³/atom. Its crystal system is tetragonal. For the magnetic moment, the calculation gives 0.0 μB/cell. For the formation energy, the calculation gives 155 meV/atom. The value obtained for the energy above the most stable polymorph in this dataset is 0.000 eV per formula unit.

=====

The following is a PBE-GGA calculation of an optimized crystal structure of HoHf2Th, from Alexandria.

Cell lengths 3.372, 3.372, 10.984 Å; angles 81.17, 81.17, 60.00 degrees
Fractional positions:
Ho  0.500  0.500  0.500
Hf  0.251  0.251  0.247
Hf  0.749  0.749  0.753
Th  0.000  0.000  0.000

Output
The calculation puts the volume at 26.6 Å³/atom. Its crystal system is trigonal. For the magnetic moment, the calculation gives 0.0 μB/cell. For the formation energy, the calculation gives 211 meV/atom. The value obtained for the energy above the most stable polymorph in this dataset is 0.224 eV per formula unit.

=====

The following is a PBE-GGA calculation of an optimized crystal structure of HoHfTh, from Alexandria.

Cell lengths 3.412, 5.379, 5.379 Å; angles 120.00, 90.00, 90.00 degrees
Fractional positions:
Th  0.667  0.667  0.333
Ho  0.167  0.000  0.000
Hf  0.166  0.333  0.667

Output
The calculation puts the volume at 28.5 Å³/atom. Its crystal system is hexagonal. For the magnetic moment, the calculation gives 0.0 μB/cell. For the formation energy, the calculation gives 158 meV/atom. The value obtained for the energy above the most stable polymorph in this dataset is 0.106 eV per formula unit.

=====

The following is a PBE-GGA calculation of an optimized crystal structure of HoHfTh, from Alexandria.

Cell lengths 3.358, 3.358, 7.898 Å; angles 102.28, 102.28, 90.00 degrees
Fractional positions:
Ho  0.323  0.323  0.646
Th  0.009  0.009  0.018
Hf  0.668  0.668  0.337

Output
The calculation puts the volume at 28.3 Å³/atom. Its crystal system is tetragonal. For the magnetic moment, the calculation gives 0.0 μB/cell. For the formation energy, the calculation gives 123 meV/atom. The value obtained for the energy above the most stable polymorph in this dataset is 0.000 eV per formula unit.

=====

The following is a PBE-GGA calculation of an optimized crystal structure of HoHf2Th, from Alexandria.

Cell lengths 3.929, 3.929, 6.933 Å; angles 90.00, 90.00, 90.00 degrees
Fractional positions:
Ho  0.500  0.500  0.000
Hf  0.000  0.000  0.723
Hf  0.000  0.000  0.277
Th  0.500  0.500  0.500

Output
The calculation puts the volume at 26.7 Å³/atom. Its crystal system is tetragonal. For the magnetic moment, the calculation gives 0.0 μB/cell. For the formation energy, the calculation gives 188 meV/atom. The value obtained for the energy above the most stable polymorph in this dataset is 0.129 eV per formula unit.

=====

The following is a PBE-GGA calculation of an optimized crystal structure of Ho2HfTh, from Alexandria.

Cell lengths 4.971, 4.793, 4.793 Å; angles 90.00, 90.00, 90.00 degrees
Fractional positions:
Ho  0.000  0.000  0.500
Ho  0.000  0.500  0.000
Th  0.500  0.000  0.000
Hf  0.500  0.500  0.500

Output
The calculation puts the volume at 28.6 Å³/atom. Its crystal system is tetragonal. For the magnetic moment, the calculation gives 0.0 μB/cell. For the formation energy, the calculation gives 116 meV/atom. The value obtained for the energy above the most stable polymorph in this dataset is 0.000 eV per formula unit.

=====

The following is a PBE-GGA calculation of an optimized crystal structure of Ho2HfTh, from Alexandria.

Cell lengths 4.027, 4.027, 7.116 Å; angles 90.00, 90.00, 90.00 degrees
Fractional positions:
Ho  0.000  0.000  0.227
Ho  0.000  0.000  0.773
Th  0.500  0.500  0.500
Hf  0.500  0.500  0.000

Output
The calculation puts the volume at 28.9 Å³/atom. Its crystal system is tetragonal. For the magnetic moment, the calculation gives 0.0 μB/cell. For the formation energy, the calculation gives 250 meV/atom. The value obtained for the energy above the most stable polymorph in this dataset is 0.537 eV per formula unit.

=====

The following is a PBE-GGA calculation of an optimized crystal structure of Ho2HfTh, from Alexandria.

Cell lengths 3.415, 3.415, 11.571 Å; angles 81.52, 81.52, 60.00 degrees
Fractional positions:
Ho  0.256  0.256  0.231
Ho  0.076  0.076  0.771
Hf  0.666  0.666  0.001
Th  0.501  0.501  0.498

Output
The calculation puts the volume at 28.8 Å³/atom. Its crystal system is trigonal. For the magnetic moment, the calculation gives 0.0 μB/cell. For the formation energy, the calculation gives 134 meV/atom. The value obtained for the energy above the most stable polymorph in this dataset is 0.074 eV per formula unit.

=====

The following is a PBE-GGA calculation of an optimized crystal structure of HoHfTh2, from Alexandria.

Cell lengths 3.464, 3.464, 11.410 Å; angles 81.27, 81.27, 60.00 degrees
Fractional positions:
Th  0.254  0.254  0.239
Th  0.080  0.080  0.760
Ho  0.498  0.498  0.505
Hf  0.668  0.668  0.995

Output
The calculation puts the volume at 29.2 Å³/atom. Its crystal system is trigonal. For the magnetic moment, the calculation gives 0.0 μB/cell. For the formation energy, the calculation gives 140 meV/atom. The value obtained for the energy above the most stable polymorph in this dataset is 0.129 eV per formula unit.

=====

The following is a PBE-GGA calculation of an optimized crystal structure of HoHfTh2, from Alexandria.

Cell lengths 4.820, 4.928, 4.928 Å; angles 90.00, 90.00, 90.00 degrees
Fractional positions:
Th  0.000  0.500  0.000
Th  0.000  0.000  0.500
Ho  0.500  0.500  0.500
Hf  0.500  0.000  0.000

Output
The calculation puts the volume at 29.3 Å³/atom. Its crystal system is tetragonal. For the magnetic moment, the calculation gives 0.0 μB/cell. For the formation energy, the calculation gives 132 meV/atom. The value obtained for the energy above the most stable polymorph in this dataset is 0.095 eV per formula unit.

=====

The following is a PBE-GGA calculation of an optimized crystal structure of HoHfTh, from Alexandria.

Cell lengths 4.157, 4.157, 10.600 Å; angles 90.00, 90.00, 90.00 degrees
Fractional positions:
Hf  0.000  0.500  0.440
Hf  0.500  0.000  0.560
Ho  0.500  0.500  0.000
Ho  0.000  0.000  0.000
Th  0.500  0.000  0.270
Th  0.000  0.500  0.730

Output
The calculation puts the volume at 30.5 Å³/atom. Its crystal system is tetragonal. For the magnetic moment, the calculation gives 0.0 μB/cell. For the formation energy, the calculation gives 609 meV/atom. The value obtained for the energy above the most stable polymorph in this dataset is 1.461 eV per formula unit.